Record 1
The following is a PBE calculation of PrCoP after structural relaxation, from OQMD.

Results
As for the calculated volume: 19.44 A^3/atom. The value obtained for the total energy is -20.058 eV/f.u.

Unit cell a=3.877 b=3.877 c=7.759 alpha=90.00 beta=90.00 gamma=90.00
Space group P4/nmm (No. 129, origin choice 2)
Inequivalent atoms, fractional coordinates:
Pr 0.250 0.250 0.201 (multiplicity 2)
Co 0.250 0.750 0.500 (multiplicity 2)
P 0.250 0.250 0.653 (multiplicity 2)

---

Record 2
The following is a PBE calculation of PrCo2SiP after structural relaxation, from OQMD.

Results
As for the calculated volume: 15.29 A^3/atom. The value obtained for the total energy is -34.166 eV/f.u.

Unit cell a=3.958 b=3.958 c=9.757 alpha=90.00 beta=90.00 gamma=90.00
Space group I4mm (No. 107)
Inequivalent atoms, fractional coordinates:
Pr 0.000 0.000 0.000 (multiplicity 2)
Co 0.000 0.500 0.255 (multiplicity 4)
Si 0.000 0.000 0.636 (multiplicity 2)
P 0.000 0.000 0.368 (multiplicity 2)

---

Record 3
The following is a PBE calculation of RbCo3P5 after structural relaxation, from OQMD.

Results
As for the calculated volume: 18.59 A^3/atom. The value obtained for the total energy is -50.800 eV/f.u.

Unit cell a=4.8664 b=4.8664 c=8.1571 alpha=90.00 beta=90.00 gamma=120.00
Space group P6/mmm (No. 191)
Inequivalent atoms, fractional coordinates:
Rb 0.0000 0.0000 0.0000 (multiplicity 1)
Co 0.0000 0.5000 0.5000 (multiplicity 3)
P 0.0000 0.0000 0.5000 (multiplicity 1)
P 0.3333 0.6667 0.2800 (multiplicity 4)

---

Record 4
The following is a PBE calculation of RbCo6P4 after structural relaxation, from OQMD.

Results
As for the calculated volume: 12.24 A^3/atom. The value obtained for the total energy is -68.323 eV/f.u.

Unit cell a=6.6929 b=6.6929 c=3.4696 alpha=90.00 beta=90.00 gamma=120.00
Space group P-6m2 (No. 187)
Inequivalent atoms, fractional coordinates:
Rb 0.0000 0.0000 0.0000 (multiplicity 1)
Co 0.2077 0.4154 0.5000 (multiplicity 3)
Co 0.5360 0.0719 0.0000 (multiplicity 3)
P 0.3333 0.6667 0.0000 (multiplicity 1)
P 0.3957 0.1978 0.5000 (multiplicity 3)

---

Record 5
The following is a PBE calculation of RbCoPS4 after structural relaxation, from OQMD.

Results
As for the calculated volume: 28.91 A^3/atom. The value obtained for the total energy is -33.851 eV/f.u.

Unit cell a=8.231 b=8.231 c=11.950 alpha=90.00 beta=90.00 gamma=90.00
Space group I4/mcm (No. 140)
Inequivalent atoms, fractional coordinates:
Rb 0.000 0.000 0.250 (multiplicity 4)
Co 0.000 0.500 0.000 (multiplicity 4)
P 0.000 0.500 0.250 (multiplicity 4)
S 0.131 0.369 0.134 (multiplicity 16)

---

Record 6
The following is a PBE calculation of Co2Re5P12 after structural relaxation, from OQMD.

Results
As for the calculated volume: 14.29 A^3/atom. The value obtained for the total energy is -149.270 eV/f.u.

Unit cell a=11.929 b=14.883 c=3.059 alpha=90.00 beta=90.00 gamma=90.00
Space group Pnnm (No. 58)
Inequivalent atoms, fractional coordinates:
Co 0.131 0.155 0.000 (multiplicity 4)
Re 0.000 0.500 0.500 (multiplicity 2)
Re 0.078 0.758 0.000 (multiplicity 4)
Re 0.182 0.899 0.500 (multiplicity 4)
P 0.028 0.926 0.000 (multiplicity 4)
P 0.077 0.261 0.500 (multiplicity 4)
P 0.100 0.596 0.000 (multiplicity 4)
P 0.154 0.400 0.500 (multiplicity 4)
P 0.212 0.063 0.500 (multiplicity 4)
P 0.226 0.742 0.500 (multiplicity 4)

---

Record 7
The following is a PBE calculation of ScCoP after structural relaxation, from OQMD.

Results
As for the calculated volume: 13.65 A^3/atom. The value obtained for the total energy is -22.283 eV/f.u.

Unit cell a=6.257 b=3.745 c=6.992 alpha=90.00 beta=90.00 gamma=90.00
Space group Pnma (No. 62)
Inequivalent atoms, fractional coordinates:
Sc 0.017 0.250 0.185 (multiplicity 4)
Co 0.147 0.250 0.561 (multiplicity 4)
P 0.221 0.750 0.385 (multiplicity 4)

---

Record 8
The following is a PBE calculation of CoPSe3 after structural relaxation, from OQMD.

Results
As for the calculated volume: 21.51 A^3/atom. The value obtained for the total energy is -23.803 eV/f.u.

Unit cell a=6.251 b=10.743 c=6.727 alpha=90.00 beta=107.74 gamma=90.00
Space group C2/m (No. 12)
Inequivalent atoms, fractional coordinates:
Co 0.000 0.167 0.000 (multiplicity 4)
P 0.058 0.500 0.176 (multiplicity 4)
Se 0.188 0.000 0.220 (multiplicity 4)
Se 0.236 0.191 0.781 (multiplicity 8)

---

Record 9
The following is a PBE calculation of Co2P4WSe after structural relaxation, from OQMD.

Results
As for the calculated volume: 14.20 A^3/atom. The value obtained for the total energy is -53.745 eV/f.u.

Unit cell a=3.3610 b=3.3610 c=11.6156 alpha=90.00 beta=90.00 gamma=120.00
Space group P-6m2 (No. 187)
Inequivalent atoms, fractional coordinates:
Co 0.0000 0.0000 0.2376 (multiplicity 2)
P 0.3333 0.6667 0.3365 (multiplicity 2)
P 0.6667 0.3333 0.1349 (multiplicity 2)
W 0.0000 0.0000 0.0000 (multiplicity 1)
Se 0.0000 0.0000 0.5000 (multiplicity 1)

---

Record 10
The following is a PBE calculation of TbCo2SiP after structural relaxation, from OQMD.

Results
As for the calculated volume: 14.18 A^3/atom. The value obtained for the total energy is -34.406 eV/f.u.

Unit cell a=3.846 b=3.846 c=9.581 alpha=90.00 beta=90.00 gamma=90.00
Space group I4mm (No. 107)
Inequivalent atoms, fractional coordinates:
Tb 0.000 0.000 0.000 (multiplicity 2)
Co 0.000 0.500 0.245 (multiplicity 4)
Si 0.000 0.000 0.372 (multiplicity 2)
P 0.000 0.000 0.624 (multiplicity 2)

---

Record 11
The following is a PBE calculation of Sm2Co12P7 after structural relaxation, from OQMD.

Results
As for the calculated volume: 12.11 A^3/atom. The value obtained for the total energy is -148.491 eV/f.u.

Unit cell a=9.0180 b=9.0180 c=3.6111 alpha=90.00 beta=90.00 gamma=120.00
Space group P-6 (No. 174)
Inequivalent atoms, fractional coordinates:
Sm 0.0000 0.0000 0.0000 (multiplicity 1)
Sm 0.3333 0.6667 0.5000 (multiplicity 1)
Co 0.0492 0.7664 0.5000 (multiplicity 3)
Co 0.0981 0.3918 0.0000 (multiplicity 3)
Co 0.3946 0.2148 0.0000 (multiplicity 3)
Co 0.5387 0.1062 0.5000 (multiplicity 3)
P 0.0714 0.6282 0.0000 (multiplicity 3)
P 0.2674 0.0428 0.5000 (multiplicity 3)
P 0.6667 0.3333 0.0000 (multiplicity 1)

---

Record 12
The following is a PBE calculation of SmCoP after structural relaxation, from OQMD.

Results
As for the calculated volume: 17.33 A^3/atom. The value obtained for the total energy is -20.031 eV/f.u.

Unit cell a=3.909 b=3.909 c=6.808 alpha=90.00 beta=90.00 gamma=90.00
Space group P4/nmm (No. 129, origin choice 2)
Inequivalent atoms, fractional coordinates:
Sm 0.250 0.250 0.183 (multiplicity 2)
Co 0.250 0.750 0.500 (multiplicity 2)
P 0.250 0.250 0.684 (multiplicity 2)

---

Record 13
The following is a PBE calculation of Sm2Co3P5 after structural relaxation, from OQMD.

Results
As for the calculated volume: 14.79 A^3/atom. The value obtained for the total energy is -66.193 eV/f.u.

Unit cell a=10.982 b=10.835 c=5.887 alpha=90.00 beta=122.40 gamma=90.00
Space group C2/c (No. 15)
Inequivalent atoms, fractional coordinates:
Sm 0.230 0.130 0.229 (multiplicity 8)
Co 0.000 0.499 0.750 (multiplicity 4)
Co 0.105 0.141 0.605 (multiplicity 8)
P 0.000 0.000 0.250 (multiplicity 4)
P 0.000 0.272 0.750 (multiplicity 4)
P 0.000 0.273 0.250 (multiplicity 4)
P 0.153 0.395 0.153 (multiplicity 8)

---

Record 14
The following is a PBE calculation of CoSnP after structural relaxation, from OQMD.

Results
As for the calculated volume: 16.63 A^3/atom. The value obtained for the total energy is -16.496 eV/f.u.

Unit cell a=4.048 b=4.048 c=6.090 alpha=90.00 beta=90.00 gamma=90.00
Space group P4_2/mmc (No. 131)
Inequivalent atoms, fractional coordinates:
Co 0.000 0.500 0.000 (multiplicity 2)
Sn 0.000 0.000 0.250 (multiplicity 2)
P 0.500 0.500 0.250 (multiplicity 2)

---

Record 15
The following is a PBE calculation of CoSnP after structural relaxation, from OQMD.

Results
As for the calculated volume: 16.58 A^3/atom. The value obtained for the total energy is -16.548 eV/f.u.

Unit cell a=5.838 b=5.838 c=5.838 alpha=90.00 beta=90.00 gamma=90.00
Space group F-43m (No. 216)
Inequivalent atoms, fractional coordinates:
Co 0.000 0.000 0.000 (multiplicity 4)
Sn 0.250 0.250 0.250 (multiplicity 4)
P 0.250 0.250 0.750 (multiplicity 4)

---

Record 16
The following is a PBE calculation of Co2Sn3P after structural relaxation, from OQMD.

Results
As for the calculated volume: 18.24 A^3/atom. The value obtained for the total energy is -31.796 eV/f.u.

Unit cell a=4.257 b=4.257 c=6.038 alpha=90.00 beta=90.00 gamma=90.00
Space group P-4m2 (No. 115)
Inequivalent atoms, fractional coordinates:
Co 0.000 0.500 0.229 (multiplicity 2)
Sn 0.000 0.000 0.500 (multiplicity 1)
Sn 0.500 0.500 0.000 (multiplicity 1)
Sn 0.500 0.500 0.500 (multiplicity 1)
P 0.000 0.000 0.000 (multiplicity 1)

---

Record 17
The following is a PBE calculation of CoSnP after structural relaxation, from OQMD.

Results
As for the calculated volume: 16.33 A^3/atom. The value obtained for the total energy is -16.851 eV/f.u.

Unit cell a=4.164 b=4.164 c=5.651 alpha=90.00 beta=90.00 gamma=90.00
Space group P4/nmm (No. 129, origin choice 2)
Inequivalent atoms, fractional coordinates:
Co 0.250 0.250 0.191 (multiplicity 2)
Sn 0.250 0.750 0.500 (multiplicity 2)
P 0.250 0.750 0.000 (multiplicity 2)

---

Record 18
The following is a PBE calculation of SrCo2P2 after structural relaxation, from OQMD.

Results
As for the calculated volume: 16.52 A^3/atom. The value obtained for the total energy is -30.851 eV/f.u.

Unit cell a=3.781 b=3.781 c=11.553 alpha=90.00 beta=90.00 gamma=90.00
Space group I4/mmm (No. 139)
Inequivalent atoms, fractional coordinates:
Sr 0.000 0.000 0.000 (multiplicity 2)
Co 0.000 0.500 0.250 (multiplicity 4)
P 0.000 0.000 0.349 (multiplicity 4)

---

Record 19
The following is a PBE calculation of SrCoP after structural relaxation, from OQMD.

Results
As for the calculated volume: 21.78 A^3/atom. The value obtained for the total energy is -16.561 eV/f.u.

Unit cell a=3.813 b=3.813 c=8.987 alpha=90.00 beta=90.00 gamma=90.00
Space group P4/nmm (No. 129, origin choice 2)
Inequivalent atoms, fractional coordinates:
Sr 0.250 0.250 0.204 (multiplicity 2)
Co 0.250 0.750 0.500 (multiplicity 2)
P 0.250 0.250 0.629 (multiplicity 2)

---

Record 20
The following is a PBE calculation of TaCoP after structural relaxation, from OQMD.

Results
As for the calculated volume: 13.37 A^3/atom. The value obtained for the total energy is -26.245 eV/f.u.

Unit cell a=3.6658 b=3.6658 c=6.8924 alpha=90.00 beta=90.00 gamma=120.00
Space group P6_3mc (No. 186)
Inequivalent atoms, fractional coordinates:
Ta 0.0000 0.0000 0.0000 (multiplicity 2)
Co 0.3333 0.6667 0.2532 (multiplicity 2)
P 0.3333 0.6667 0.7496 (multiplicity 2)